[1]
LiLa3Tm2S6: relaxed, PBE.

Cell and atoms, written as CIF:
```
data_LiLa3Tm2S6
_chemical_formula_sum 'Li2 La6 Tm4 S12'
_cell_length_a 6.867
_cell_length_b 11.922
_cell_length_c 6.991
_cell_angle_alpha 90.00
_cell_angle_beta 109.17
_cell_angle_gamma 90.00
_space_group_name_H-M_alt 'C 1 2/m 1'
_space_group_IT_number 12
_space_group_name_Hall '-C 2y'
loop_
_atom_site_label
_atom_site_type_symbol
_atom_site_fract_x
_atom_site_fract_y
_atom_site_fract_z
Li1 Li 0.000 0.000 0.000
La1 La 0.000 0.165 0.500
La2 La 0.000 0.500 0.500
Tm1 Tm 0.000 0.334 0.000
S1 S 0.240 0.166 0.225
S2 S 0.244 0.500 0.222
```

Output
* DOS(E_F): 10.685 states/eV per cell
* uncorrected formation energy: -1.998 eV per atom

***

[2]
LiLa4Tm3S8: relaxed, PBE.

Cell and atoms, written as CIF:
```
data_LiLa4Tm3S8
_chemical_formula_sum 'Li3 La12 Tm9 S24'
_cell_length_a 7.9274
_cell_length_b 7.9274
_cell_length_c 19.8900
_cell_angle_alpha 90.00
_cell_angle_beta 90.00
_cell_angle_gamma 120.00
_space_group_name_H-M_alt 'R -3 m'
_space_group_IT_number 166
_space_group_name_Hall '-R 3 2"'
loop_
_atom_site_label
_atom_site_type_symbol
_atom_site_fract_x
_atom_site_fract_y
_atom_site_fract_z
Li1 Li 0.0000 0.0000 0.0000
La1 La 0.0000 0.0000 0.5000
La2 La 0.0000 0.5000 0.5000
Tm1 Tm 0.0000 0.5000 0.0000
S1 S 0.0000 0.0000 0.2585
S2 S 0.0019 0.5010 0.7408
```

Output
* DOS(E_F): 30.876 states/eV per cell
* uncorrected formation energy: -2.009 eV per atom

***

[3]
Li2LaTmS4: relaxed, PBE.

Cell and atoms, written as CIF:
```
data_Li2LaTmS4
_chemical_formula_sum 'Li2 La1 Tm1 S4'
_cell_length_a 6.600
_cell_length_b 4.005
_cell_length_c 6.961
_cell_angle_alpha 90.00
_cell_angle_beta 110.66
_cell_angle_gamma 90.00
_space_group_name_H-M_alt 'P 1 2/m 1'
_space_group_IT_number 10
_space_group_name_Hall '-P 2y'
loop_
_atom_site_label
_atom_site_type_symbol
_atom_site_fract_x
_atom_site_fract_y
_atom_site_fract_z
Li1 Li 0.000 0.000 0.000
Li2 Li 0.000 0.500 0.500
La1 La 0.500 0.000 0.500
Tm1 Tm 0.500 0.500 0.000
S1 S 0.245 0.500 0.233
S2 S 0.250 0.000 0.763
```

Output
* DOS(E_F): 0.000 states/eV per cell
* uncorrected formation energy: -1.830 eV per atom

***

[4]
LiLa2TmS5: relaxed, PBE.

Cell and atoms, written as CIF:
```
data_LiLa2TmS5
_chemical_formula_sum 'Li4 La8 Tm4 S20'
_cell_length_a 4.029
_cell_length_b 16.570
_cell_length_c 11.991
_cell_angle_alpha 90.00
_cell_angle_beta 90.00
_cell_angle_gamma 90.00
_space_group_name_H-M_alt 'C m c 21'
_space_group_IT_number 36
_space_group_name_Hall 'C 2c -2'
loop_
_atom_site_label
_atom_site_type_symbol
_atom_site_fract_x
_atom_site_fract_y
_atom_site_fract_z
Li1 Li 0.000 0.017 0.000
La1 La 0.000 0.374 0.820
La2 La 0.000 0.392 0.206
Tm1 Tm 0.000 0.302 0.525
S1 S 0.000 0.001 0.303
S2 S 0.000 0.139 0.520
S3 S 0.000 0.193 0.873
S4 S 0.000 0.213 0.179
S5 S 0.000 0.452 0.587
```

Output
* uncorrected formation energy: -2.014 eV per atom

***

[5]
Li3La3US8: relaxed, PBE.

Cell and atoms, written as CIF:
```
data_Li3La3US8
_chemical_formula_sum 'Li9 La9 U3 S24'
_cell_length_a 8.3186
_cell_length_b 8.3186
_cell_length_c 18.2947
_cell_angle_alpha 90.00
_cell_angle_beta 90.00
_cell_angle_gamma 120.00
_space_group_name_H-M_alt 'R -3 m'
_space_group_IT_number 166
_space_group_name_Hall '-R 3 2"'
loop_
_atom_site_label
_atom_site_type_symbol
_atom_site_fract_x
_atom_site_fract_y
_atom_site_fract_z
Li1 Li 0.0000 0.5000 0.0000
La1 La 0.0000 0.5000 0.5000
U1 U 0.0000 0.0000 0.5000
S1 S 0.0000 0.0000 0.2520
S2 S 0.0218 0.5109 0.2484
```

Output
* DOS(E_F): 17.985 states/eV per cell
* uncorrected formation energy: -1.736 eV per atom

***

[6]
Li2LaUS4: relaxed, PBE.

Cell and atoms, written as CIF:
```
data_Li2LaUS4
_chemical_formula_sum 'Li2 La1 U1 S4'
_cell_length_a 6.639
_cell_length_b 4.013
_cell_length_c 7.007
_cell_angle_alpha 90.00
_cell_angle_beta 110.71
_cell_angle_gamma 90.00
_space_group_name_H-M_alt 'P 1 2/m 1'
_space_group_IT_number 10
_space_group_name_Hall '-P 2y'
loop_
_atom_site_label
_atom_site_type_symbol
_atom_site_fract_x
_atom_site_fract_y
_atom_site_fract_z
Li1 Li 0.000 0.000 0.000
Li2 Li 0.000 0.500 0.500
La1 La 0.500 0.000 0.500
U1 U 0.500 0.500 0.000
S1 S 0.241 0.500 0.233
S2 S 0.245 0.000 0.759
```

Output
* DOS(E_F): 6.469 states/eV per cell
* uncorrected formation energy: -1.567 eV per atom

***

[7]
Li3La2US6: relaxed, PBE.

Cell and atoms, written as CIF:
```
data_Li3La2US6
_chemical_formula_sum 'Li6 La4 U2 S12'
_cell_length_a 7.053
_cell_length_b 12.317
_cell_length_c 6.600
_cell_angle_alpha 90.00
_cell_angle_beta 110.23
_cell_angle_gamma 90.00
_space_group_name_H-M_alt 'C 1 2/m 1'
_space_group_IT_number 12
_space_group_name_Hall '-C 2y'
loop_
_atom_site_label
_atom_site_type_symbol
_atom_site_fract_x
_atom_site_fract_y
_atom_site_fract_z
Li1 Li 0.000 0.000 0.000
Li2 Li 0.000 0.350 0.000
La1 La 0.000 0.168 0.500
U1 U 0.000 0.500 0.500
S1 S 0.239 0.500 0.246
S2 S 0.243 0.341 0.757
```

Output
* DOS(E_F): 19.149 states/eV per cell
* uncorrected formation energy: -1.649 eV per atom

***

[8]
LiLaU2S5: relaxed, PBE.

Cell and atoms, written as CIF:
```
data_LiLaU2S5
_chemical_formula_sum 'Li2 La2 U4 S10'
_cell_length_a 7.045
_cell_length_b 7.045
_cell_length_c 7.759
_cell_angle_alpha 90.00
_cell_angle_beta 90.00
_cell_angle_gamma 90.00
_space_group_name_H-M_alt 'P 4/m b m'
_space_group_IT_number 127
_space_group_name_Hall '-P 4 2ab'
loop_
_atom_site_label
_atom_site_type_symbol
_atom_site_fract_x
_atom_site_fract_y
_atom_site_fract_z
Li1 Li 0.000 0.000 0.000
La1 La 0.000 0.500 0.000
U1 U 0.123 0.377 0.500
S1 S 0.000 0.000 0.500
S2 S 0.196 0.696 0.242
```

Output
* DOS(E_F): 5.311 states/eV per cell
* uncorrected formation energy: -1.265 eV per atom